Entry 1:
Here is a relaxed Ce2ZnSb crystal from the Alexandria database. Energies are from PBE.

```
data_Ce2ZnSb
_chemical_formula_sum 'Ce2 Zn1 Sb1'
_cell_length_a 4.009
_cell_length_b 4.009
_cell_length_c 6.408
_cell_angle_alpha 90.00
_cell_angle_beta 90.00
_cell_angle_gamma 90.00
_symmetry_space_group_name_H-M 'P 4/m m m'
_symmetry_Int_Tables_number 123
_symmetry_space_group_name_Hall '-P 4 2'
loop_
_atom_site_label
_atom_site_type_symbol
_atom_site_fract_x
_atom_site_fract_y
_atom_site_fract_z
Ce1 Ce 0.000 0.000 0.233
Zn1 Zn 0.500 0.500 0.000
Sb1 Sb 0.500 0.500 0.500
```

- formation energy from raw total energies (eV per atom) = -0.53
- distance to the lowest polymorph of the same formula (meV/atom) = 0

---

Entry 2:
Here is a relaxed AcTb2Ag2 crystal from the Alexandria database. Energies are from PBE.

```
data_AcTb2Ag2
_chemical_formula_sum 'Ac2 Tb4 Ag4'
_cell_length_a 3.730
_cell_length_b 21.417
_cell_length_c 3.705
_cell_angle_alpha 90.00
_cell_angle_beta 90.00
_cell_angle_gamma 90.00
_symmetry_space_group_name_H-M 'C m m m'
_symmetry_Int_Tables_number 65
_symmetry_space_group_name_Hall '-C 2 2'
loop_
_atom_site_label
_atom_site_type_symbol
_atom_site_fract_x
_atom_site_fract_y
_atom_site_fract_z
Ac1 Ac 0.000 0.000 0.000
Tb1 Tb 0.000 0.180 0.000
Ag1 Ag 0.000 0.396 0.500
```

- calculated formation energy (kJ/mol of formula units) = -43

---

Entry 3:
Here is a relaxed HfOsO2 crystal from the Alexandria database. Energies are from PBE.

```
data_HfOsO2
_chemical_formula_sum 'Hf4 Os4 O8'
_cell_length_a 3.999
_cell_length_b 3.999
_cell_length_c 12.779
_cell_angle_alpha 90.00
_cell_angle_beta 90.00
_cell_angle_gamma 90.00
_symmetry_space_group_name_H-M 'I -4 2 d'
_symmetry_Int_Tables_number 122
_symmetry_space_group_name_Hall 'I -4 2bw'
loop_
_atom_site_label
_atom_site_type_symbol
_atom_site_fract_x
_atom_site_fract_y
_atom_site_fract_z
Hf1 Hf 0.000 0.000 0.000
Os1 Os 0.000 0.000 0.500
O1 O 0.245 0.250 0.625
```

- formation energy from raw total energies (eV per atom) = -1.20
- distance to the lowest polymorph of the same formula (meV/atom) = 245

---

Entry 4:
Here is a relaxed Mn2CuP crystal from the Alexandria database. Energies are from PBE.

```
data_Mn2CuP
_chemical_formula_sum 'Mn2 Cu1 P1'
_cell_length_a 2.773
_cell_length_b 2.773
_cell_length_c 5.968
_cell_angle_alpha 90.00
_cell_angle_beta 90.00
_cell_angle_gamma 90.00
_symmetry_space_group_name_H-M 'P 4/m m m'
_symmetry_Int_Tables_number 123
_symmetry_space_group_name_Hall '-P 4 2'
loop_
_atom_site_label
_atom_site_type_symbol
_atom_site_fract_x
_atom_site_fract_y
_atom_site_fract_z
Mn1 Mn 0.000 0.000 0.217
Cu1 Cu 0.500 0.500 0.500
P1 P 0.500 0.500 0.000
```

- calculated formation energy (kJ/mol of formula units) = -21

---

Entry 5:
Here is a relaxed Ba2ZnIr crystal from the Alexandria database. Energies are from PBE.

```
data_Ba2ZnIr
_chemical_formula_sum 'Ba4 Zn2 Ir2'
_cell_length_a 7.957
_cell_length_b 4.598
_cell_length_c 8.550
_cell_angle_alpha 90.00
_cell_angle_beta 107.99
_cell_angle_gamma 90.00
_symmetry_space_group_name_H-M 'C 1 2/m 1'
_symmetry_Int_Tables_number 12
loop_
_symmetry_equiv_pos_as_xyz
'x,y,z'
'-x,-y,-z'
'-x,y,-z'
'x,-y,z'
'x+1/2,y+1/2,z'
'-x+1/2,-y+1/2,-z'
'-x+1/2,y+1/2,-z'
'x+1/2,-y+1/2,z'
loop_
_atom_site_label
_atom_site_type_symbol
_atom_site_fract_x
_atom_site_fract_y
_atom_site_fract_z
Ba1 Ba 0.233 0.000 0.199
Zn1 Zn 0.000 0.000 0.500
Ir1 Ir 0.000 0.500 0.000
```

- calculated formation energy (kJ/mol of formula units) = 26

---

Entry 6:
Here is a relaxed MnSiTe4 crystal from the Alexandria database. Energies are from PBE.

```
data_MnSiTe4
_chemical_formula_sum 'Mn4 Si4 Te16'
_cell_length_a 8.862
_cell_length_b 8.862
_cell_length_c 8.862
_cell_angle_alpha 90.00
_cell_angle_beta 90.00
_cell_angle_gamma 90.00
_symmetry_space_group_name_H-M 'F -4 3 m'
_symmetry_Int_Tables_number 216
_symmetry_space_group_name_Hall 'F -4 2 3'
loop_
_atom_site_label
_atom_site_type_symbol
_atom_site_fract_x
_atom_site_fract_y
_atom_site_fract_z
Mn1 Mn 0.000 0.000 0.000
Si1 Si 0.250 0.250 0.750
Te1 Te 0.125 0.125 0.375
```

- formation energy from raw total energies (eV per atom) = 0.91

---

Entry 7:
Here is a relaxed CdTcAs2 crystal from the Alexandria database. Energies are from PBE.

```
data_CdTcAs2
_chemical_formula_sum 'Cd2 Tc2 As4'
_cell_length_a 3.934
_cell_length_b 3.934
_cell_length_c 9.158
_cell_angle_alpha 90.00
_cell_angle_beta 90.00
_cell_angle_gamma 90.00
_symmetry_space_group_name_H-M 'I -4 m 2'
_symmetry_Int_Tables_number 119
_symmetry_space_group_name_Hall 'I -4 -2'
loop_
_atom_site_label
_atom_site_type_symbol
_atom_site_fract_x
_atom_site_fract_y
_atom_site_fract_z
Cd1 Cd 0.000 0.000 0.000
Tc1 Tc 0.000 0.500 0.750
As1 As 0.000 0.000 0.500
As2 As 0.000 0.500 0.250
```

- calculated formation energy (kJ/mol of formula units) = 179

---

Entry 8:
Here is a relaxed Ag2IrF8 crystal from the Alexandria database. Energies are from PBE.

```
data_Ag2IrF8
_chemical_formula_sum 'Ag4 Ir2 F16'
_cell_length_a 10.060
_cell_length_b 7.852
_cell_length_c 4.471
_cell_angle_alpha 90.00
_cell_angle_beta 92.26
_cell_angle_gamma 90.00
_symmetry_space_group_name_H-M 'C 1 2/m 1'
_symmetry_Int_Tables_number 12
loop_
_symmetry_equiv_pos_as_xyz
'x,y,z'
'-x,-y,-z'
'-x,y,-z'
'x,-y,z'
'x+1/2,y+1/2,z'
'-x+1/2,-y+1/2,-z'
'-x+1/2,y+1/2,-z'
'x+1/2,-y+1/2,z'
loop_
_atom_site_label
_atom_site_type_symbol
_atom_site_fract_x
_atom_site_fract_y
_atom_site_fract_z
Ag1 Ag 0.125 0.000 0.265
Ir1 Ir 0.000 0.500 0.500
F1 F 0.090 0.326 0.287
F2 F 0.102 0.000 0.762
F3 F 0.151 0.500 0.782
```

- formation energy from raw total energies (eV per atom) = -1.32

---

Entry 9:
Here is a relaxed CuAgPt2 crystal from the Alexandria database. Energies are from PBE.

```
data_CuAgPt2
_chemical_formula_sum 'Cu2 Ag2 Pt4'
_cell_length_a 2.814
_cell_length_b 4.710
_cell_length_c 9.363
_cell_angle_alpha 90.00
_cell_angle_beta 90.00
_cell_angle_gamma 90.00
_symmetry_space_group_name_H-M 'C m m m'
_symmetry_Int_Tables_number 65
_symmetry_space_group_name_Hall '-C 2 2'
loop_
_atom_site_label
_atom_site_type_symbol
_atom_site_fract_x
_atom_site_fract_y
_atom_site_fract_z
Cu1 Cu 0.000 0.000 0.000
Ag1 Ag 0.000 0.000 0.500
Pt1 Pt 0.000 0.500 0.234
```

- calculated formation energy (kJ/mol of formula units) = -18
- distance to the lowest polymorph of the same formula (meV/atom) = 88

---

Entry 10:
Here is a relaxed CeYTcAg crystal from the Alexandria database. Energies are from PBE.

```
data_CeYTcAg
_chemical_formula_sum 'Ce4 Y4 Tc4 Ag4'
_cell_length_a 7.099
_cell_length_b 7.099
_cell_length_c 7.099
_cell_angle_alpha 90.00
_cell_angle_beta 90.00
_cell_angle_gamma 90.00
_symmetry_space_group_name_H-M 'F -4 3 m'
_symmetry_Int_Tables_number 216
_symmetry_space_group_name_Hall 'F -4 2 3'
loop_
_atom_site_label
_atom_site_type_symbol
_atom_site_fract_x
_atom_site_fract_y
_atom_site_fract_z
Ce1 Ce 0.000 0.000 0.000
Y1 Y 0.000 0.000 0.500
Tc1 Tc 0.250 0.250 0.750
Ag1 Ag 0.250 0.250 0.250
```

- calculated formation energy (kJ/mol of formula units) = -24

---

Please write out number 1 again, unchanged.
Here is a relaxed Ce2ZnSb crystal from the Alexandria database. Energies are from PBE.

```
data_Ce2ZnSb
_chemical_formula_sum 'Ce2 Zn1 Sb1'
_cell_length_a 4.009
_cell_length_b 4.009
_cell_length_c 6.408
_cell_angle_alpha 90.00
_cell_angle_beta 90.00
_cell_angle_gamma 90.00
_symmetry_space_group_name_H-M 'P 4/m m m'
_symmetry_Int_Tables_number 123
_symmetry_space_group_name_Hall '-P 4 2'
loop_
_atom_site_label
_atom_site_type_symbol
_atom_site_fract_x
_atom_site_fract_y
_atom_site_fract_z
Ce1 Ce 0.000 0.000 0.233
Zn1 Zn 0.500 0.500 0.000
Sb1 Sb 0.500 0.500 0.500
```

- formation energy from raw total energies (eV per atom) = -0.53
- distance to the lowest polymorph of the same formula (meV/atom) = 0